# BeNiF2

A relaxed BeNiF2 crystal (PBE with a Hubbard U, the Alexandria database).

Summary:
Calculated total energy (eV per atom): -2.8070
Offset from the most stable computed form (meV/atom): 1351

Cell lengths 5.3453, 5.3453, 5.3453 Å; angles 90.00, 90.00, 90.00 degrees
Last column: nearest neighbours and their distance in Å.
Space group Fm-3m (No. 225)
Asymmetric unit:
Be1 0.0000 0.0000 0.0000  8 F 2.31
Ni1 0.0000 0.0000 0.5000  8 F 2.31
F1 0.2500 0.2500 0.2500  4 Ni 2.31, 4 Be 2.31